Entry 1:
{"formula": "LiEr4Zr4O14", "functional": "PBE", "state": "optimized geometry", "lattice": [[3.532, 0.000, 0.000], [0.000, 7.875, -0.284], [0.000, -0.128, 10.784]], "species": ["O", "O", "O", "O", "O", "O", "O", "O", "O", "O", "O", "O", "O", "O", "Zr", "Zr", "Zr", "Zr", "Er", "Er", "Er", "Er", "Li"], "frac_coords": [[0.000, 0.023, 0.084], [0.000, 0.490, 0.597], [0.000, 0.439, 0.345], [0.500, 0.840, 0.658], [0.000, 0.555, 0.104], [0.000, 0.036, 0.843], [0.500, 0.782, 0.925], [0.500, 0.293, 0.871], [0.500, 0.767, 0.195], [0.000, 0.958, 0.364], [0.500, 0.216, 0.607], [0.500, 0.684, 0.422], [0.500, 0.204, 0.362], [0.500, 0.258, 0.125], [0.500, 0.435, 0.482], [0.500, 0.065, 0.968], [0.000, 0.187, 0.244], [0.000, 0.691, 0.281], [0.500, 0.967, 0.482], [0.000, 0.277, 0.735], [0.000, 0.773, 0.759], [0.500, 0.510, 0.006], [0.000, 0.792, 0.042]], "polymorph_energy_ev_per_atom": 0.000, "dos_at_fermi_per_ev_atom": 0.01, "raw_formation_energy_ev_per_atom": -3.215, "volume_a3_per_cell": 300, "dft_energy_ev_per_cell": -197.71, "m_tot_mub_per_fu": 1.00}

=====

Entry 2:
{"formula": "LiErOs", "functional": "PBE", "state": "optimized geometry", "lattice": [[-3.339, -2.529, -1.090], [2.690, -3.136, -0.963], [1.075, -1.124, 6.663]], "species": ["Os", "Os", "Er", "Er", "Li", "Li"], "frac_coords": [[0.293, 0.750, 0.503], [0.707, 0.250, 0.497], [0.676, 0.750, 0.228], [0.324, 0.250, 0.772], [0.143, 0.250, 0.253], [0.857, 0.750, 0.747]], "dos_at_fermi_per_ev_atom": 0.57, "volume_a3_per_cell": 121, "delta_e_f_mev_per_atom": 121.6, "dft_energy_ev_per_cell": -34.68, "m_tot_mub_per_fu": 0.00}

=====

Entry 3:
{"formula": "LiEr2Os", "functional": "PBE", "state": "optimized geometry", "lattice": [[3.389, 0.000, 0.000], [0.000, 3.389, 0.000], [0.000, 0.000, 8.058]], "species": ["Os", "Li", "Er", "Er"], "frac_coords": [[0.500, 0.500, 0.000], [0.500, 0.500, 0.500], [0.000, 0.000, 0.203], [0.000, 0.000, 0.797]], "polymorph_energy_ev_per_atom": 0.076, "dos_at_fermi_per_ev_atom": 0.49, "volume_a3_per_cell": 93, "delta_e_f_mev_per_atom": -197.6, "dft_energy_ev_per_cell": -23.06, "m_tot_mub_per_fu": 0.00}